# 1
DFT (PBE-GGA) results for a relaxed structure of Co2AgRu.

Results
As for the raw total energy: -6.194 eV per atom. As for the symmetry: P4/mmm, No. 123. The polymorph energy (0 for the lowest one) comes out at 67 meV per atom.

Cell: 3.008 3.008 6.084 Å, 90.00 90.00 90.00°
Site moments in Bohr magnetons follow the coordinates.
Positions (direct):
1 Co 0.000 0.000 0.032  1.58
2 Co 0.000 0.000 0.468  1.58
3 Ag 0.500 0.500 0.750  -0.01
4 Ru 0.500 0.500 0.250  1.02



# 2
DFT (PBE-GGA) results for a relaxed structure of CoAgRu3.

Results
As for the raw total energy: -6.146 eV per atom. As for the symmetry: Pm-3m, No. 221. The polymorph energy (0 for the lowest one) comes out at 0 meV per atom.

Cell: 4.462 4.462 4.462 Å, 90.00 90.00 90.00°
Site moments in Bohr magnetons follow the coordinates.
Positions (direct):
1 Co 0.000 0.000 0.000  1.34
2 Ru 0.000 0.000 0.500  1.72
3 Ru 0.000 0.500 0.000  1.51
4 Ag 0.500 0.500 0.500  0.03
5 Ru 0.500 0.000 0.000  1.23